Material: CrSbO4
Method: DFT, PBE+U
State: optimized geometry

size of the total moment	0.4999	μB per atom
energy	-6.909	eV/atom
SG	P2_1/c, No. 14

abc: 5.5985 4.6806 5.6451
angles: 90.00 112.82 90.00
With the nearest neighbours (Å) after each atom.
Sites, in units of the cell vectors:
Cr 0.0000 0.0000 0.0000  6 O 2.02-2.05
Cr 0.0000 0.5000 0.5000  6 O 2.02-2.05
Sb 0.5000 0.0000 0.5000  6 O 1.98-2.02
Sb 0.5000 0.5000 0.0000  6 O 1.98-2.02
O 0.1588 0.1920 0.3490  1 Sb 1.98, 2 Cr 2.03-2.05
O 0.1588 0.3080 0.8490  1 Sb 1.98, 2 Cr 2.03-2.05
O 0.3466 0.6981 0.6561  2 Sb 2.02, 1 Cr 2.02
O 0.3466 0.8019 0.1561  2 Sb 2.02, 1 Cr 2.02
O 0.6534 0.1981 0.8439  2 Sb 2.02, 1 Cr 2.02
O 0.6534 0.3019 0.3439  2 Sb 2.02, 1 Cr 2.02
O 0.8412 0.6920 0.1510  1 Sb 1.98, 2 Cr 2.03-2.05
O 0.8412 0.8080 0.6510  1 Sb 1.98, 2 Cr 2.03-2.05